4
Lattice="-1.862 1.862 3.872 1.862 -1.862 3.872 1.862 1.862 -3.872" Properties=species:S:1:pos:R:3 comment="AlReP2 GGA-PBEsol relaxed" sg="I-4m2, No. 119" total_magnetization_mub_per_cell=0.0 formation_enthalpy_0k_ev_per_atom=0.284 vol_a3_per_atom=13.4 e_tot_ev_per_atom=-6.9676 pbc="T T T"
Al 0.000 0.000 0.000
Re 1.862 0.000 1.936
P 0.000 0.000 3.872
P 0.000 1.862 1.936